[1]
VASP calculation (GGA-PBE) on a geometry-optimized TaTl2 structure.

Unit cell a=5.6974 b=5.6974 c=9.6103 alpha=102.60 beta=102.60 gamma=31.23
Last column: nearest neighbours and their distance in Å.
Atoms (fractional coordinates):
Ta: 0.0000 0.0000 0.0000  2 Ta 2.72, 1 Tl 2.86
Ta: 0.6132 0.6132 0.2266  2 Ta 2.72, 1 Tl 2.95
Tl: 0.1838 0.1838 0.5244  3 Tl 3.07-3.40, 2 Ta 3.18
Tl: 0.2542 0.2542 0.9725  3 Ta 2.86-3.06, 2 Tl 3.07
Tl: 0.4868 0.4868 0.7115  3 Tl 3.07-3.40, 2 Ta 3.14
Tl: 0.8888 0.8888 0.2966  3 Ta 2.95-3.10, 2 Tl 3.07

Output
* energy above the most stable polymorph in this dataset: 0.000 eV per atom
* DOS at the Fermi energy: 3.5 states/eV/cell
* energy of formation: 0.468 eV per atom

[2]
VASP calculation (GGA-PBE) on a geometry-optimized GaRePdI2 structure.

Unit cell a=5.6612 b=5.6612 c=4.8537 alpha=90.00 beta=90.00 gamma=90.00
Last column: nearest neighbours and their distance in Å.
Atoms (fractional coordinates):
Ga: 0.0000 0.0000 0.0000  2 Pd 2.43
Re: 0.5000 0.5000 0.0000  8 I 3.73, 4 Ga 4.00
Pd: 0.0000 0.0000 0.5000  2 Ga 2.43
I: 0.0000 0.5000 0.5000  2 Pd 2.83
I: 0.5000 0.0000 0.5000  2 Pd 2.83

Output
* energy above the most stable polymorph in this dataset: 0.000 eV per atom
* ΔE_f (raw): 1.15 eV/atom
* DOS at the Fermi energy: 2.6 states/eV/cell

[3]
VASP calculation (GGA-PBE) on a geometry-optimized CaLa4Ho3Se8 structure.

Unit cell a=8.4543 b=8.4543 c=8.4543 alpha=59.20 beta=59.20 gamma=59.20
Last column: nearest neighbours and their distance in Å.
Atoms (fractional coordinates):
Ca: 0.0000 0.0000 0.0000  6 Se 2.91
La: 0.0000 0.0000 0.5000  6 Se 3.06
La: 0.0000 0.5000 0.0000  6 Se 3.06
La: 0.5000 0.0000 0.0000  6 Se 3.06
La: 0.5000 0.5000 0.5000  6 Se 3.04
Ho: 0.0000 0.5000 0.5000  6 Se 2.89
Ho: 0.5000 0.0000 0.5000  6 Se 2.89
Ho: 0.5000 0.5000 0.0000  6 Se 2.89
Se: 0.2446 0.2446 0.7411  2 Ho 2.89, 1 Ca 2.91, 3 La 3.04-3.06
Se: 0.2446 0.7411 0.2446  2 Ho 2.89, 1 Ca 2.91, 3 La 3.04-3.06
Se: 0.2569 0.2569 0.2569  3 Ho 2.89, 3 La 3.06
Se: 0.2589 0.7554 0.7554  2 Ho 2.89, 1 Ca 2.91, 3 La 3.04-3.06
Se: 0.7411 0.2446 0.2446  2 Ho 2.89, 1 Ca 2.91, 3 La 3.04-3.06
Se: 0.7431 0.7431 0.7431  3 Ho 2.89, 3 La 3.06
Se: 0.7554 0.2589 0.7554  2 Ho 2.89, 1 Ca 2.91, 3 La 3.04-3.06
Se: 0.7554 0.7554 0.2589  2 Ho 2.89, 1 Ca 2.91, 3 La 3.04-3.06

Output
* ΔE_f (raw): -1.89 eV/atom
* DOS at the Fermi energy: 9.0 states/eV/cell

[4]
VASP calculation (GGA-PBE) on a geometry-optimized U3Tl4PtSe8 structure.

Unit cell a=8.1804 b=8.1804 c=9.3085 alpha=116.22 beta=116.22 gamma=57.58
Last column: nearest neighbours and their distance in Å.
Atoms (fractional coordinates):
U: 0.0000 0.0000 0.0000  6 Se 2.86-2.89
U: 0.0000 0.5000 0.0000  6 Se 2.81-2.90
U: 0.5000 0.0000 0.0000  6 Se 2.81-2.90
Tl: 0.0000 0.0000 0.5000  2 Se 3.12
Tl: 0.0000 0.5000 0.5000  6 Se 3.26-3.44
Tl: 0.5000 0.0000 0.5000  6 Se 3.26-3.44
Tl: 0.5000 0.5000 0.5000  6 Se 3.31-3.40
Pt: 0.5000 0.5000 0.0000  4 Se 2.62
Se: 0.2326 0.2326 0.2089  3 U 2.87-2.89
Se: 0.2429 0.2429 0.7792  2 U 2.81, 1 Tl 3.12
Se: 0.2551 0.7128 0.1900  1 Pt 2.62, 2 U 2.86-2.90
Se: 0.2872 0.7449 0.8100  1 Pt 2.62, 2 U 2.86-2.90
Se: 0.7128 0.2551 0.1900  1 Pt 2.62, 2 U 2.86-2.90
Se: 0.7449 0.2872 0.8100  1 Pt 2.62, 2 U 2.86-2.90
Se: 0.7571 0.7571 0.2208  2 U 2.81, 1 Tl 3.12
Se: 0.7674 0.7674 0.7911  3 U 2.87-2.89

Output
* ΔE_f (raw): -0.72 eV/atom
* DOS at the Fermi energy: 15.3 states/eV/cell

[5]
VASP calculation (GGA-PBE) on a geometry-optimized K4InBr structure.

Unit cell a=7.5389 b=7.5389 c=7.5389 alpha=60.00 beta=60.00 gamma=60.00
Last column: nearest neighbours and their distance in Å.
Atoms (fractional coordinates):
K: 0.1250 0.1250 0.1250  6 K 3.77
K: 0.1250 0.1250 0.6250  6 K 3.77
K: 0.1250 0.6250 0.1250  6 K 3.77
K: 0.6250 0.1250 0.1250  6 K 3.77
In: 0.5000 0.5000 0.5000  12 K 4.42, 4 Br 4.62
Br: 0.7500 0.7500 0.7500  12 K 4.42, 4 In 4.62

Output
* ΔE_f (raw): -0.07 eV/atom
* DOS at the Fermi energy: 5.9 states/eV/cell

[6]
VASP calculation (GGA-PBE) on a geometry-optimized La2PrSc structure.

Unit cell a=3.7226 b=3.7226 c=9.6707 alpha=90.00 beta=90.00 gamma=90.00
Last column: nearest neighbours and their distance in Å.
Atoms (fractional coordinates):
La: 0.0000 0.0000 0.2319  4 Sc 3.46, 4 Pr 3.69, 4 La 3.72
La: 0.0000 0.0000 0.7681  4 Sc 3.46, 4 Pr 3.69, 4 La 3.72
Pr: 0.5000 0.5000 0.5000  8 La 3.69, 4 Pr 3.72
Sc: 0.5000 0.5000 0.0000  8 La 3.46, 4 Sc 3.72

Output
* energy above the most stable polymorph in this dataset: 0.008 eV per atom
* DOS at the Fermi energy: 6.4 states/eV/cell
* energy of formation: 0.044 eV per atom

[7]
VASP calculation (GGA-PBE) on a geometry-optimized La2USi3Ni12 structure.

Unit cell a=7.3515 b=7.3515 c=7.3515 alpha=62.27 beta=62.27 gamma=62.27
Last column: nearest neighbours and their distance in Å.
Atoms (fractional coordinates):
La: 0.1011 0.1011 0.1011  6 Ni 2.69-2.77
La: 0.8989 0.8989 0.8989  6 Ni 2.69-2.77
U: 0.5000 0.5000 0.5000  6 Ni 2.41
Si: 0.0000 0.5000 0.5000  6 Ni 2.19-2.27
Si: 0.5000 0.0000 0.5000  6 Ni 2.19-2.27
Si: 0.5000 0.5000 0.0000  6 Ni 2.19-2.27
Ni: 0.1103 0.6373 0.6373  1 Si 2.27, 1 U 2.41
Ni: 0.1468 0.1468 0.5875  2 Si 2.19
Ni: 0.1468 0.5875 0.1468  2 Si 2.19
Ni: 0.3627 0.3627 0.8897  1 Si 2.27, 1 U 2.41
Ni: 0.3627 0.8897 0.3627  1 Si 2.27, 1 U 2.41
Ni: 0.4125 0.8532 0.8532  2 Si 2.19
Ni: 0.5875 0.1468 0.1468  2 Si 2.19
Ni: 0.6373 0.1103 0.6373  1 Si 2.27, 1 U 2.41
Ni: 0.6373 0.6373 0.1103  1 Si 2.27, 1 U 2.41
Ni: 0.8532 0.4125 0.8532  2 Si 2.19
Ni: 0.8532 0.8532 0.4125  2 Si 2.19
Ni: 0.8897 0.3627 0.3627  1 Si 2.27, 1 U 2.41

Output
* ΔE_f (raw): 0.00 eV/atom
* DOS at the Fermi energy: 11.9 states/eV/cell

[8]
VASP calculation (GGA-PBE) on a geometry-optimized Ga5AgRh4 structure.

Unit cell a=3.0325 b=3.0325 c=16.0057 alpha=90.00 beta=90.00 gamma=90.00
Last column: nearest neighbours and their distance in Å.
Atoms (fractional coordinates):
Ga: 0.0000 0.0000 0.0000  8 Rh 2.63
Ga: 0.0000 0.0000 0.1918  8 Rh 2.64
Ga: 0.0000 0.0000 0.3824  4 Rh 2.63, 4 Ag 2.85
Ga: 0.0000 0.0000 0.6176  4 Rh 2.63, 4 Ag 2.85
Ga: 0.0000 0.0000 0.8082  8 Rh 2.64
Ag: 0.5000 0.5000 0.5000  8 Ga 2.85, 4 Ag 3.03
Rh: 0.5000 0.5000 0.0951  8 Ga 2.63-2.64
Rh: 0.5000 0.5000 0.2875  8 Ga 2.63-2.64
Rh: 0.5000 0.5000 0.7125  8 Ga 2.63-2.64
Rh: 0.5000 0.5000 0.9049  8 Ga 2.63-2.64

Output
* DOS at the Fermi energy: 4.0 states/eV/cell
* energy of formation: -0.522 eV per atom

[9]
VASP calculation (GGA-PBE) on a geometry-optimized SnOsI2O structure.

Unit cell a=6.0112 b=6.0112 c=3.9648 alpha=90.00 beta=90.00 gamma=90.00
Last column: nearest neighbours and their distance in Å.
Atoms (fractional coordinates):
Sn: 0.0000 0.0000 0.0000  2 O 1.98
Os: 0.5000 0.5000 0.5000  8 I 3.60, 2 Os 3.96
I: 0.0000 0.5000 0.0000  2 Sn 3.01
I: 0.5000 0.0000 0.0000  2 Sn 3.01
O: 0.0000 0.0000 0.5000  2 Sn 1.98

Output
* energy above the most stable polymorph in this dataset: 0.905 eV per atom
* ΔE_f (raw): 0.93 eV/atom
* DOS at the Fermi energy: 4.5 states/eV/cell

[10]
VASP calculation (GGA-PBE) on a geometry-optimized PaCl2O2 structure.

Unit cell a=3.7913 b=3.7913 c=7.3281 alpha=90.00 beta=90.00 gamma=120.00
Last column: nearest neighbours and their distance in Å.
Atoms (fractional coordinates):
Pa: 0.0000 0.0000 0.0000  6 O 2.26
Cl: 0.3333 0.6667 0.6764  4 O 2.85-2.92
Cl: 0.6667 0.3333 0.3236  4 O 2.85-2.92
O: 0.3333 0.6667 0.0754  3 Pa 2.26, 3 O 2.45
O: 0.6667 0.3333 0.9246  3 Pa 2.26, 3 O 2.45

Output
* energy above the most stable polymorph in this dataset: 0.135 eV per atom
* ΔE_f (raw): -2.09 eV/atom
* DOS at the Fermi energy: 3.9 states/eV/cell

[11]
VASP calculation (GGA-PBE) on a geometry-optimized YZnB structure.

Unit cell a=4.0332 b=4.0332 c=6.2740 alpha=90.00 beta=90.00 gamma=90.00
Last column: nearest neighbours and their distance in Å.
Atoms (fractional coordinates):
Y: 0.2500 0.2500 0.2154  4 B 2.69, 5 Zn 2.92-2.96
Y: 0.7500 0.7500 0.7846  4 B 2.69, 5 Zn 2.92-2.96
Zn: 0.2500 0.2500 0.6866  4 B 2.33
Zn: 0.7500 0.7500 0.3134  4 B 2.33
B: 0.2500 0.7500 0.5000  4 Zn 2.33
B: 0.7500 0.2500 0.5000  4 Zn 2.33

Output
* energy above the most stable polymorph in this dataset: 0.368 eV per atom
* DOS at the Fermi energy: 1.1 states/eV/cell
* energy of formation: -0.005 eV per atom

[12]
VASP calculation (GGA-PBE) on a geometry-optimized La6Ge3Pt structure.

Unit cell a=11.2036 b=4.2690 c=13.5125 alpha=90.00 beta=111.12 gamma=90.00
Last column: nearest neighbours and their distance in Å.
Atoms (fractional coordinates):
La: 0.0122 0.2500 0.3697  3 Ge 2.98-3.12
La: 0.0824 0.2500 0.9089  3 Ge 3.07-3.12
La: 0.2546 0.7500 0.3305  2 Pt 3.03, 3 Ge 3.04-3.16, 1 La 3.37
La: 0.3386 0.7500 0.1147  2 Pt 3.16, 5 Ge 3.22-3.34, 1 La 3.37
La: 0.3493 0.7500 0.7847  1 Pt 3.07, 4 Ge 3.17-3.40
La: 0.3937 0.2500 0.5683  2 Pt 3.02, 2 Ge 3.10
La: 0.6063 0.7500 0.4317  2 Pt 3.02, 2 Ge 3.10
La: 0.6507 0.2500 0.2153  1 Pt 3.07, 4 Ge 3.17-3.40
La: 0.6614 0.2500 0.8853  2 Pt 3.16, 5 Ge 3.22-3.34, 1 La 3.37
La: 0.7454 0.2500 0.6695  2 Pt 3.03, 3 Ge 3.04-3.16, 1 La 3.37
La: 0.9176 0.7500 0.0911  3 Ge 3.07-3.12
La: 0.9878 0.7500 0.6303  3 Ge 2.98-3.12
Ge: 0.1282 0.2500 0.1505  7 La 3.07-3.34, 1 Pt 3.25
Ge: 0.1808 0.7500 0.5260  7 La 2.98-3.32
Ge: 0.4164 0.2500 0.9705  2 Ge 2.76
Ge: 0.5836 0.7500 0.0295  2 Ge 2.76
Ge: 0.8192 0.2500 0.4740  7 La 2.98-3.32
Ge: 0.8718 0.7500 0.8495  7 La 3.07-3.34, 1 Pt 3.25
Pt: 0.4301 0.2500 0.2991  7 La 3.02-3.16, 1 Ge 3.25
Pt: 0.5699 0.7500 0.7009  7 La 3.02-3.16, 1 Ge 3.25

Output
* DOS at the Fermi energy: 20.1 states/eV/cell
* energy of formation: -0.698 eV per atom